# La6PdCl5 (GGA-PBE, optimized geometry)
data_La6PdCl5
_cell_length_a 7.224
_cell_length_b 7.224
_cell_length_c 7.320
_cell_angle_alpha 99.38
_cell_angle_beta 99.38
_cell_angle_gamma 120.47
_symmetry_space_group_name_H-M 'P 1'
_symmetry_Int_Tables_number 1
_symmetry_space_group_name_Hall 'P 1'
loop_
_atom_site_label
_atom_site_type_symbol
_atom_site_fract_x
_atom_site_fract_y
_atom_site_fract_z
_atom_site_occupancy
La1 La 0.078 0.415 0.748 1
La2 La 0.240 0.240 0.240 1
La3 La 0.415 0.078 0.748 1
La4 La 0.585 0.922 0.252 1
La5 La 0.760 0.760 0.760 1
La6 La 0.922 0.585 0.252 1
Pd1 Pd 0.500 0.500 0.000 1
Cl1 Cl 0.000 0.000 0.500 1
Cl2 Cl 0.170 0.830 0.000 1
Cl3 Cl 0.343 0.657 0.500 1
Cl4 Cl 0.657 0.343 0.500 1
Cl5 Cl 0.830 0.170 0.000 1
# Space group ... C2/m
# Density of states at the Fermi level ... 10.75 states/eV/f.u.
# Formation energy from raw total energies ... -137 kJ per mole of atoms
# Crystal system ... monoclinic